Record 1
Below is an optimized crystal structure of AcNdSiAu, with properties calculated at the GGA-PBE level.

Cell and atoms, written as extended XYZ:
```
4
Lattice="0.000 3.798 3.798 3.798 0.000 3.798 3.798 3.798 0.000" Properties=species:S:1:pos:R:3 pbc="T T T"
Ac 0.000 0.000 0.000
Nd 3.798 3.798 3.798
Si 5.696 5.696 5.696
Au 1.899 1.899 1.899
```

## Properties
The space group is No. 216. The final energy is -19.8 eV per cell. Its total magnetic moment is 0.79 μB/cell. The value obtained for the theoretical density is 9.0 g/cm3.

Record 2
Below is an optimized crystal structure of AcNdSmAu, with properties calculated at the GGA-PBE level.

Cell and atoms, written as extended XYZ:
```
4
Lattice="0.000 3.920 3.920 3.920 0.000 3.920 3.920 3.920 0.000" Properties=species:S:1:pos:R:3 pbc="T T T"
Ac 0.000 0.000 0.000
Nd 1.960 1.960 1.960
Sm 5.880 5.880 5.880
Au 3.920 3.920 3.920
```

## Properties
The space group is No. 216. Its total magnetic moment is 1.02 μB/cell. The value obtained for the theoretical density is 9.9 g/cm3. As for the energy of formation from the pure elements: -0.03 eV per atom.